Record 1
TbCoIrO6 after structural relaxation. Source: Alexandria, functional PBE+U.

It has space group P-31c (No. 163), with a = 5.4226 Å, b = 5.4226 Å, c = 8.5278 Å, α = 90.00°, β = 90.00° and γ = 120.00°. The asymmetric unit holds Tb at (0.3333, 0.6667, 0.2500), Co at (0.0000, 0.0000, 0.0000), Ir at (0.3333, 0.6667, 0.7500) and O at (0.0455, 0.3638, 0.6221).

The calculation puts the total magnetization at 1.2 μB/f.u.

=====

Record 2
CoTcIrO6 after structural relaxation. Source: Alexandria, functional PBE+U.

It has space group P-31c (No. 163), with a = 4.8478 Å, b = 4.8478 Å, c = 8.9426 Å, α = 90.00°, β = 90.00° and γ = 120.00°. The asymmetric unit holds Co at (0.0000, 0.0000, 0.0000), Tc at (0.3333, 0.6667, 0.2500), Ir at (0.3333, 0.6667, 0.7500) and O at (0.0070, 0.3328, 0.1209).

The calculation puts the total magnetization at 1.0 μB/f.u.

=====

Record 3
Co2TeIrO6 after structural relaxation. Source: Alexandria, functional PBE+U.

It has space group R3 (No. 146, hexagonal axes), with a = 5.2771 Å, b = 5.2771 Å, c = 14.0135 Å, α = 90.00°, β = 90.00° and γ = 120.00°. The asymmetric unit holds Co at (0.0000, 0.0000, 0.0000), Co at (0.0000, 0.0000, 0.4796), Te at (0.0000, 0.0000, 0.2777), Ir at (0.0000, 0.0000, 0.7952), O at (0.0349, 0.6689, 0.0613) and O at (0.0459, 0.3399, 0.5508).

The calculation puts the total magnetization at 3.0 μB/f.u.

=====

Record 4
CoTeIrO6 after structural relaxation. Source: Alexandria, functional PBE+U.

It has space group P-31c (No. 163), with a = 5.2279 Å, b = 5.2279 Å, c = 8.8753 Å, α = 90.00°, β = 90.00° and γ = 120.00°. The asymmetric unit holds Co at (0.0000, 0.0000, 0.0000), Te at (0.3333, 0.6667, 0.2500), Ir at (0.3333, 0.6667, 0.7500) and O at (0.0007, 0.3487, 0.1315).

The calculation puts the total magnetization at 2.0 μB/f.u.

=====

Record 5
Tl3Co2IrO6 after structural relaxation. Source: Alexandria, functional PBE+U.

It has space group C2/m (No. 12), with a = 5.325 Å, b = 9.224 Å, c = 6.795 Å, α = 90.00°, β = 104.97° and γ = 90.00°. The asymmetric unit holds Tl at (0.000, 0.000, 0.000), Tl at (0.000, 0.333, 0.000), Co at (0.000, 0.167, 0.500), Ir at (0.000, 0.500, 0.500), O at (0.204, 0.000, 0.643) and O at (0.219, 0.328, 0.644).

The calculation puts the total magnetization at 0.6 μB/f.u.

=====

Record 6
Tl2Co2IrO6 after structural relaxation. Source: Alexandria, functional PBE+U.

It has space group C2/m (No. 12), with a = 5.216 Å, b = 9.005 Å, c = 6.646 Å, α = 90.00°, β = 105.01° and γ = 90.00°. The asymmetric unit holds Tl at (0.000, 0.167, 0.000), Co at (0.000, 0.334, 0.500), Ir at (0.000, 0.000, 0.500), O at (0.206, 0.500, 0.651) and O at (0.221, 0.172, 0.651).

The calculation puts the total magnetization at 1.0 μB/f.u.

=====

Record 7
Tl2CoIrO6 after structural relaxation. Source: Alexandria, functional PBE+U.

It has space group P4mm (No. 99), with a = 5.801 Å, b = 5.801 Å, c = 3.820 Å, α = 90.00°, β = 90.00° and γ = 90.00°. The asymmetric unit holds Tl at (0.000, 0.500, 0.000), Co at (0.000, 0.000, 0.497), Ir at (0.500, 0.500, 0.507), O at (0.000, 0.000, 0.006), O at (0.263, 0.263, 0.509) and O at (0.500, 0.500, 0.007).

The calculation puts the total magnetization at 4.4 μB/f.u.

=====

Record 8
TlCoIrO4 after structural relaxation. Source: Alexandria, functional PBE+U.

It has space group Imma (No. 74), with a = 6.054 Å, b = 6.586 Å, c = 8.862 Å, α = 90.00°, β = 90.00° and γ = 90.00°. The asymmetric unit holds Tl at (0.000, 0.250, 0.142), Co at (0.250, 0.250, 0.750), Ir at (0.000, 0.000, 0.500), O at (0.000, 0.062, 0.731) and O at (0.208, 0.250, 0.530).

The calculation puts the total magnetization at 0.0 μB/f.u.

=====

Across the entries above, energy takes the values -6.734, -6.931, -5.947, -6.081, -5.276, -5.590, -5.427, -5.821 eV/atom, respectively.